# NdIn3Au PBE optimized geometry
data_NdIn3Au
_chemical_formula_sum 'Nd4 In12 Au4'
_cell_length_a 9.1988
_cell_length_b 4.6127
_cell_length_c 11.8415
_cell_angle_alpha 90.00
_cell_angle_beta 90.00
_cell_angle_gamma 90.00
_symmetry_space_group_name_H-M 'P n m a'
_symmetry_Int_Tables_number 62
loop_
_symmetry_equiv_pos_as_xyz
'x,y,z'
'-x,-y,-z'
'-x+1/2,-y,z+1/2'
'x+1/2,y,-z+1/2'
'x+1/2,-y+1/2,-z+1/2'
'-x+1/2,y+1/2,z+1/2'
'-x,y+1/2,-z'
'x,-y+1/2,z'
loop_
_atom_site_label
_atom_site_type_symbol
_atom_site_fract_x
_atom_site_fract_y
_atom_site_fract_z
Nd1 Nd 0.1953 0.2500 0.0060
In1 In 0.0689 0.2500 0.5944
In2 In 0.1001 0.7500 0.8204
In3 In 0.1354 0.7500 0.2038
Au1 Au 0.1028 0.2500 0.3575
# ΔE_f: -9.41 kcal/mol of atoms
# Fermi-level density of states: 1.7 states/eV/f.u.

---

# NdIn2Au6 PBE optimized geometry
data_NdIn2Au6
_chemical_formula_sum 'Nd2 In4 Au12'
_cell_length_a 3.5509
_cell_length_b 8.1816
_cell_length_c 13.6464
_cell_angle_alpha 90.00
_cell_angle_beta 90.00
_cell_angle_gamma 90.00
_symmetry_space_group_name_H-M 'I m m m'
_symmetry_Int_Tables_number 71
_symmetry_space_group_name_Hall '-I 2 2'
loop_
_atom_site_label
_atom_site_type_symbol
_atom_site_fract_x
_atom_site_fract_y
_atom_site_fract_z
Nd1 Nd 0.0000 0.0000 0.0000
In1 In 0.0000 0.5000 0.1438
Au1 Au 0.0000 0.1727 0.5000
Au2 Au 0.0000 0.3286 0.3230
# ΔE_f: -7.71 kcal/mol of atoms
# Fermi-level density of states: 2.7 states/eV/f.u.

---

# Nd2In5Au3 PBE optimized geometry
data_Nd2In5Au3
_chemical_formula_sum 'Nd8 In20 Au12'
_cell_length_a 4.6653
_cell_length_b 27.1688
_cell_length_c 7.5632
_cell_angle_alpha 90.00
_cell_angle_beta 90.00
_cell_angle_gamma 90.00
_symmetry_space_group_name_H-M 'C m c 21'
_symmetry_Int_Tables_number 36
loop_
_symmetry_equiv_pos_as_xyz
'x,y,z'
'-x,-y,z+1/2'
'-x,y,z'
'x,-y,z+1/2'
'x+1/2,y+1/2,z'
'-x+1/2,-y+1/2,z+1/2'
'-x+1/2,y+1/2,z'
'x+1/2,-y+1/2,z+1/2'
loop_
_atom_site_label
_atom_site_type_symbol
_atom_site_fract_x
_atom_site_fract_y
_atom_site_fract_z
Nd1 Nd 0.0000 0.0202 0.0000
Nd2 Nd 0.0000 0.3263 0.0381
In1 In 0.0000 0.1004 0.3567
In2 In 0.0000 0.2068 0.2457
In3 In 0.0000 0.2071 0.8328
In4 In 0.0000 0.3795 0.5078
In5 In 0.0000 0.4480 0.1702
Au1 Au 0.0000 0.1080 0.7425
Au2 Au 0.0000 0.2747 0.5399
Au3 Au 0.0000 0.4534 0.7854
# ΔE_f: -12.27 kcal/mol of atoms
# Fermi-level density of states: 4.1 states/eV/f.u.

---

# NdIn4Au12 PBE optimized geometry
data_NdIn4Au12
_chemical_formula_sum 'Nd2 In8 Au24'
_cell_length_a 9.3769
_cell_length_b 9.3769
_cell_length_c 9.3769
_cell_angle_alpha 90.00
_cell_angle_beta 90.00
_cell_angle_gamma 90.00
_symmetry_space_group_name_H-M 'I m -3'
_symmetry_Int_Tables_number 204
_symmetry_space_group_name_Hall '-I 2 2 3'
loop_
_atom_site_label
_atom_site_type_symbol
_atom_site_fract_x
_atom_site_fract_y
_atom_site_fract_z
Nd1 Nd 0.0000 0.0000 0.0000
In1 In 0.2500 0.2500 0.2500
Au1 Au 0.0000 0.1452 0.3503
# ΔE_f: 0.38 kcal/mol of atoms
# Fermi-level density of states: 6.7 states/eV/f.u.

---

V, record by record: 25.123 22.025 23.966 24.249 A^3/atom